1.
Here is a geometry-optimized Sr6Cd5Pb structure from Alexandria. Energies are from GGA-PBE.

Unit cell a=18.127 b=8.218 c=5.736 alpha=90.00 beta=108.39 gamma=90.00
Space group C2/m (No. 12)
Unique sites:
1 Sr 0.000 0.249 0.000
2 Sr 0.166 0.250 0.666
3 Cd 0.000 0.000 0.500
4 Cd 0.165 0.000 0.166
5 Cd 0.169 0.500 0.169
6 Pb 0.000 0.500 0.500

Mass density in g/cm3: 5.3
Formation energy in eV/atom: -0.385


2.
Here is a geometry-optimized SrCd2Pb4 structure from Alexandria. Energies are from GGA-PBE.

Unit cell a=5.214 b=19.105 c=4.451 alpha=90.00 beta=90.00 gamma=90.00
Space group Cmmm (No. 65)
Unique sites:
1 Sr 0.000 0.000 0.000
2 Cd 0.000 0.427 0.500
3 Pb 0.000 0.167 0.500
4 Pb 0.000 0.309 0.000

Mass density in g/cm3: 8.5
Formation energy in eV/atom: -0.113


3.
Here is a geometry-optimized SrCd2Pb structure from Alexandria. Energies are from GGA-PBE.

Unit cell a=4.0878 b=4.0878 c=27.7526 alpha=90.00 beta=90.00 gamma=120.00
Space group R-3m (No. 166, hexagonal axes)
Unique sites:
1 Sr 0.0000 0.0000 0.0000
2 Cd 0.0000 0.0000 0.2428
3 Pb 0.0000 0.0000 0.5000

Mass density in g/cm3: 6.4
Formation energy in eV/atom: -0.046


4.
Here is a geometry-optimized SrCd2Pb structure from Alexandria. Energies are from GGA-PBE.

Unit cell a=3.872 b=4.942 c=6.577 alpha=90.00 beta=105.80 gamma=90.00
Space group Pm (No. 6)
Unique sites:
1 Sr 0.000 0.000 0.000
2 Cd 0.607 0.500 0.223
3 Cd 0.705 0.000 0.465
4 Pb 0.321 0.500 0.662

Mass density in g/cm3: 7.1
Formation energy in eV/atom: -0.220


5.
Here is a geometry-optimized SrTbCdPb structure from Alexandria. Energies are from GGA-PBE.

Unit cell a=7.869 b=7.869 c=7.869 alpha=90.00 beta=90.00 gamma=90.00
Space group F-43m (No. 216)
Unique sites:
1 Sr 0.000 0.000 0.000
2 Tb 0.000 0.000 0.500
3 Cd 0.250 0.250 0.750
4 Pb 0.250 0.250 0.250

Mass density in g/cm3: 7.7
Formation energy in eV/atom: -0.367


6.
Here is a geometry-optimized SrTlCdPb structure from Alexandria. Energies are from GGA-PBE.

Unit cell a=7.902 b=7.902 c=7.902 alpha=90.00 beta=90.00 gamma=90.00
Space group F-43m (No. 216)
Unique sites:
1 Sr 0.000 0.000 0.000
2 Tl 0.250 0.250 0.750
3 Cd 0.250 0.250 0.250
4 Pb 0.000 0.000 0.500

Mass density in g/cm3: 8.2
Excess energy over the best structure of this formula in the dataset in meV per atom: 35
Formation energy in eV/atom: -0.231


7.
Here is a geometry-optimized SrTlCdPb structure from Alexandria. Energies are from GGA-PBE.

Unit cell a=4.853 b=4.933 c=5.024 alpha=90.00 beta=90.00 gamma=90.00
Space group Pmmm (No. 47)
Unique sites:
1 Sr 0.000 0.000 0.000
2 Tl 0.500 0.000 0.500
3 Cd 0.000 0.500 0.500
4 Pb 0.500 0.500 0.000

Mass density in g/cm3: 8.4
Excess energy over the best structure of this formula in the dataset in meV per atom: 0
Formation energy in eV/atom: -0.266


8.
Here is a geometry-optimized Sr2Tl7Cd2Pb structure from Alexandria. Energies are from GGA-PBE.

Unit cell a=6.761 b=6.779 c=16.985 alpha=90.00 beta=101.32 gamma=90.00
Space group C2/m (No. 12)
Unique sites:
1 Sr 0.167 0.000 0.333
2 Tl 0.000 0.500 0.000
3 Tl 0.171 0.250 0.844
4 Tl 0.232 0.500 0.461
5 Cd 0.140 0.500 0.281
6 Pb 0.000 0.000 0.000

Mass density in g/cm3: 8.9
Formation energy in eV/atom: -0.110


9.
Here is a geometry-optimized SrTmCdPb structure from Alexandria. Energies are from GGA-PBE.

Unit cell a=7.813 b=7.813 c=7.813 alpha=90.00 beta=90.00 gamma=90.00
Space group F-43m (No. 216)
Unique sites:
1 Sr 0.000 0.000 0.000
2 Tm 0.000 0.000 0.500
3 Cd 0.250 0.250 0.750
4 Pb 0.250 0.250 0.250

Mass density in g/cm3: 8.0
Formation energy in eV/atom: -0.334


10.
Here is a geometry-optimized SrVCdPb2 structure from Alexandria. Energies are from GGA-PBE.

Unit cell a=5.193 b=5.193 c=5.230 alpha=90.00 beta=90.00 gamma=90.00
Space group P4/mmm (No. 123)
Unique sites:
1 Sr 0.000 0.000 0.000
2 V 0.500 0.500 0.500
3 Cd 0.500 0.500 0.000
4 Pb 0.000 0.500 0.500

Mass density in g/cm3: 7.8
Formation energy in eV/atom: 0.070


11.
Here is a geometry-optimized SrYCdPb structure from Alexandria. Energies are from GGA-PBE.

Unit cell a=7.862 b=7.862 c=7.862 alpha=90.00 beta=90.00 gamma=90.00
Space group F-43m (No. 216)
Unique sites:
1 Sr 0.000 0.000 0.000
2 Y 0.000 0.000 0.500
3 Cd 0.250 0.250 0.250
4 Pb 0.250 0.250 0.750

Mass density in g/cm3: 6.8
Formation energy in eV/atom: -0.378


12.
Here is a geometry-optimized SrZnCdPb structure from Alexandria. Energies are from GGA-PBE.

Unit cell a=7.595 b=7.595 c=7.595 alpha=90.00 beta=90.00 gamma=90.00
Space group F-43m (No. 216)
Unique sites:
1 Sr 0.000 0.000 0.000
2 Zn 0.250 0.250 0.250
3 Cd 0.250 0.250 0.750
4 Pb 0.000 0.000 0.500

Mass density in g/cm3: 7.2
Formation energy in eV/atom: -0.194